## TlBiSbPb (PBE)

Data for TlBiSbPb after structural relaxation.

Summary:
ΔE_f (raw): 95 meV/atom

abc: 7.850 7.850 7.850
angles: 90.00 90.00 90.00
Space group F-43m (No. 216)
Asymmetric unit:
Tl (0.000, 0.000, 0.000) (multiplicity 4)
Bi (0.250, 0.250, 0.250) (multiplicity 4)
Sb (0.000, 0.000, 0.500) (multiplicity 4)
Pb (0.250, 0.250, 0.750) (multiplicity 4)